[1]
The following is a PBE calculation of an optimized crystal structure of PrAlAu6, from the Alexandria database.

Properties
Its crystal system is tetragonal. The density of states at the Fermi level is 3.46 states/eV/f.u. For the formation energy from the elements, the calculation gives -3.19 eV/f.u.

Cell: 4.109 4.109 9.944 Å, 90.00 90.00 90.00°
Fractional coordinates of all 8 atoms:
Pr  0.000  0.000  0.000
Al  0.000  0.000  0.500
Au  0.000  0.500  0.337
Au  0.000  0.500  0.663
Au  0.500  0.000  0.337
Au  0.500  0.000  0.663
Au  0.500  0.500  0.136
Au  0.500  0.500  0.864


[2]
The following is a PBE calculation of an optimized crystal structure of Sm8Er2Tm, from the Alexandria database.

Properties
Its crystal system is monoclinic. The density of states at the Fermi level is 17.76 states/eV/f.u. For the formation energy from the elements, the calculation gives 1.84 eV/f.u.

Cell: 8.458 8.458 5.434 Å, 90.08 90.08 104.76°
Fractional coordinates of all 11 atoms:
Sm  0.165  0.165  0.000
Sm  0.201  0.470  0.499
Sm  0.248  0.752  0.000
Sm  0.470  0.201  0.499
Sm  0.530  0.799  0.501
Sm  0.752  0.248  0.000
Sm  0.799  0.530  0.501
Sm  0.835  0.835  0.000
Er  0.120  0.880  0.500
Er  0.880  0.120  0.500
Tm  0.500  0.500  0.000


[3]
The following is a PBE calculation of an optimized crystal structure of NpTaN4, from the Alexandria database.

Properties
The value obtained for the total energy is -124.3 eV for the cell shown. Its crystal system is orthorhombic.

Cell: 5.234 5.012 5.750 Å, 90.00 90.00 90.00°
Fractional coordinates of all 12 atoms:
Np  0.000  0.000  0.000
Np  0.000  0.500  0.500
Ta  0.500  0.000  0.352
Ta  0.500  0.500  0.852
N  0.193  0.228  0.256
N  0.193  0.272  0.756
N  0.318  0.724  0.553
N  0.318  0.776  0.053
N  0.682  0.224  0.053
N  0.682  0.276  0.553
N  0.807  0.728  0.756
N  0.807  0.772  0.256


[4]
The following is a PBE calculation of an optimized crystal structure of KCu2H2, from the Alexandria database.

Properties
The value obtained for the total energy is -15.0 eV for the cell shown. Its crystal system is tetragonal. The density of states at the Fermi level is 1.95 states/eV/f.u.

Cell: 6.626 6.626 6.626 Å, 148.77 148.77 44.75°
Fractional coordinates of all 5 atoms:
K  0.000  0.000  0.000
Cu  0.266  0.266  0.000
Cu  0.734  0.734  0.000
H  0.250  0.750  0.500
H  0.750  0.250  0.500


[5]
The following is a PBE calculation of an optimized crystal structure of Na4Tb3AlO8, from the Alexandria database.

Properties
The value obtained for the total energy is -104.3 eV for the cell shown. Its crystal system is trigonal. The density of states at the Fermi level is 0.00 states/eV/f.u.

Cell: 6.756 6.756 6.756 Å, 59.04 59.04 59.04°
Fractional coordinates of all 16 atoms:
Na  0.000  0.000  0.000
Na  0.000  0.500  0.500
Na  0.500  0.000  0.500
Na  0.500  0.500  0.000
Tb  0.000  0.000  0.500
Tb  0.000  0.500  0.000
Tb  0.500  0.000  0.000
Al  0.500  0.500  0.500
O  0.238  0.238  0.238
O  0.264  0.719  0.719
O  0.281  0.281  0.736
O  0.281  0.736  0.281
O  0.719  0.264  0.719
O  0.719  0.719  0.264
O  0.736  0.281  0.281
O  0.762  0.762  0.762


[6]
The following is a PBE calculation of an optimized crystal structure of MgO, from the Alexandria database.

Properties
The value obtained for the total energy is -94.8 eV for the cell shown. Its crystal system is trigonal. The density of states at the Fermi level is 0.00 states/eV/f.u.

Cell: 20.049 20.049 20.049 Å, 8.57 8.57 8.57°
Fractional coordinates of all 16 atoms:
Mg  0.000  0.000  0.000
Mg  0.085  0.085  0.085
Mg  0.208  0.208  0.208
Mg  0.376  0.376  0.376
Mg  0.500  0.500  0.500
Mg  0.624  0.624  0.624
Mg  0.792  0.792  0.792
Mg  0.915  0.915  0.915
O  0.146  0.146  0.146
O  0.269  0.269  0.269
O  0.313  0.313  0.313
O  0.438  0.438  0.438
O  0.562  0.562  0.562
O  0.687  0.687  0.687
O  0.731  0.731  0.731
O  0.854  0.854  0.854


[7]
The following is a PBE calculation of an optimized crystal structure of Sm3Ho3Th2, from the Alexandria database.

Properties
Its crystal system is triclinic. The density of states at the Fermi level is 11.70 states/eV/f.u. For the formation energy from the elements, the calculation gives 0.32 eV/f.u.

Cell: 6.184 6.192 8.008 Å, 104.98 105.05 109.18°
Fractional coordinates of all 8 atoms:
Sm  0.000  0.000  0.000
Sm  0.130  0.630  0.260
Sm  0.870  0.370  0.740
Ho  0.373  0.873  0.746
Ho  0.500  0.500  0.000
Ho  0.627  0.127  0.254
Th  0.252  0.252  0.504
Th  0.748  0.748  0.496


[8]
The following is a PBE calculation of an optimized crystal structure of Li4PtBr, from the Alexandria database.

Properties
The value obtained for the total energy is -16.2 eV for the cell shown. Its crystal system is cubic. The density of states at the Fermi level is 1.38 states/eV/f.u.

Cell: 5.159 5.159 5.159 Å, 60.00 60.00 60.00°
Fractional coordinates of all 6 atoms:
Li  0.123  0.123  0.123
Li  0.123  0.123  0.630
Li  0.123  0.630  0.123
Li  0.630  0.123  0.123
Pt  0.750  0.750  0.750
Br  0.500  0.500  0.500


Values for calculated volume, Å³/cell, ordered as above
168; 376; 151; 78; 213; 155; 259; 97